Entry 1:
The following is a DFT calculation (GGA-PBE) of a relaxed LiTl2TcF6 crystal.

```
LiTl2TcF6
1.0
4.959 -2.877 0.000
4.959 2.877 0.000
-3.311 0.000 4.708
Tl F Tc Li
2 6 1 1
Direct
0.250 0.250 0.751 Tl
0.750 0.750 0.249 Tl
0.250 0.250 0.251 F
0.749 0.251 0.749 F
0.251 0.749 0.251 F
0.251 0.749 0.749 F
0.749 0.251 0.251 F
0.750 0.750 0.749 F
0.000 0.000 0.000 Tc
0.500 0.500 0.500 Li
```

Values from the calculation:
calculated volume = 13.43 Å³ per atom
crystal system = monoclinic
ΔE to the lowest computed polymorph = 1 meV per atom
electronic total energy = -4.83 eV/atom

---

Entry 2:
The following is a DFT calculation (GGA-PBE) of a relaxed LiUF5 crystal.

```
LiUF5
1.0
0.000 0.000 -6.394
7.250 7.250 3.197
7.250 -7.250 -3.197
F U Li
40 8 8
Direct
0.567 0.122 0.470 F
0.962 0.530 0.622 F
0.947 0.795 0.619 F
0.184 0.421 0.709 F
0.828 0.009 0.592 F
0.038 0.470 0.378 F
0.973 0.079 0.791 F
0.574 0.881 0.273 F
0.172 0.991 0.408 F
0.910 0.491 0.908 F
0.433 0.381 0.295 F
0.433 0.878 0.530 F
0.848 0.119 0.205 F
0.534 0.381 0.773 F
0.271 0.705 0.881 F
0.729 0.295 0.119 F
0.154 0.727 0.381 F
0.567 0.619 0.705 F
0.182 0.092 0.991 F
0.816 0.579 0.291 F
0.307 0.773 0.119 F
0.554 0.970 0.878 F
0.581 0.408 0.509 F
0.152 0.881 0.795 F
0.764 0.791 0.421 F
0.846 0.273 0.619 F
0.426 0.119 0.727 F
0.027 0.921 0.209 F
0.106 0.291 0.921 F
0.693 0.227 0.881 F
0.416 0.378 0.030 F
0.894 0.709 0.079 F
0.818 0.908 0.009 F
0.584 0.622 0.970 F
0.419 0.592 0.491 F
0.090 0.509 0.092 F
0.466 0.619 0.227 F
0.053 0.205 0.381 F
0.236 0.209 0.579 F
0.446 0.030 0.122 F
0.688 0.493 0.117 U
0.812 0.007 0.383 U
0.804 0.617 0.507 U
0.805 0.117 0.007 U
0.195 0.883 0.993 U
0.188 0.993 0.617 U
0.312 0.507 0.883 U
0.196 0.383 0.493 U
0.714 0.107 0.733 Li
0.606 0.767 0.107 Li
0.394 0.233 0.893 Li
0.161 0.607 0.233 Li
0.286 0.893 0.267 Li
0.839 0.393 0.767 Li
0.553 0.267 0.607 Li
0.447 0.733 0.393 Li
```

Values from the calculation:
calculated volume = 12.00 Å³ per atom
crystal system = tetragonal
electronic total energy = -6.62 eV/atom

---

Entry 3:
The following is a DFT calculation (GGA-PBE) of a relaxed LuF crystal.

```
LuF
1.0
0.000 2.635 2.635
2.635 0.000 2.635
2.635 2.635 0.000
Lu F
1 1
Direct
0.250 0.250 0.250 Lu
0.000 0.000 0.000 F
```

Values from the calculation:
calculated volume = 18.30 Å³ per atom
crystal system = cubic
ΔE to the lowest computed polymorph = 0 meV per atom
electronic total energy = -5.45 eV/atom

---

Entry 4:
The following is a DFT calculation (GGA-PBE) of a relaxed Lu2F crystal.

```
Lu2F
1.0
0.000 5.084 5.084
5.084 0.000 5.084
5.084 5.084 0.000
Lu F
4 2
Direct
0.875 0.875 0.375 Lu
0.875 0.875 0.875 Lu
0.375 0.875 0.875 Lu
0.875 0.375 0.875 Lu
0.750 0.750 0.750 F
0.000 0.000 0.000 F
```

Values from the calculation:
calculated volume = 43.79 Å³ per atom
crystal system = cubic
ΔE to the lowest computed polymorph = 0 meV per atom
electronic total energy = -4.05 eV/atom

---

Entry 5:
The following is a DFT calculation (GGA-PBE) of a relaxed LuF3 crystal.

```
LuF3
1.0
-4.308 -1.940 -2.024
1.108 -4.587 2.039
-4.521 2.234 7.481
F Lu
12 4
Direct
0.713 0.287 0.833 F
0.787 0.787 0.667 F
0.287 0.713 0.167 F
0.314 0.686 0.500 F
0.713 0.287 0.167 F
0.787 0.787 0.333 F
0.213 0.213 0.667 F
0.686 0.314 0.500 F
0.287 0.713 0.833 F
0.213 0.213 0.333 F
0.186 0.186 0.000 F
0.814 0.814 0.000 F
0.000 0.000 0.819 Lu
0.500 0.500 0.319 Lu
0.000 0.000 0.181 Lu
0.500 0.500 0.681 Lu
```

Values from the calculation:
calculated volume = 14.90 Å³ per atom
crystal system = tetragonal
electronic total energy = -6.60 eV/atom

---

Entry 6:
The following is a DFT calculation (GGA-PBE) of a relaxed Lu5F crystal.

```
Lu5F
1.0
6.151 0.000 0.000
-3.076 5.327 0.000
0.000 0.000 5.824
Lu F
5 1
Direct
0.500 0.000 0.500 Lu
0.333 0.667 0.000 Lu
0.667 0.333 0.000 Lu
0.000 0.500 0.500 Lu
0.500 0.500 0.500 Lu
0.000 0.000 0.000 F
```

Values from the calculation:
calculated volume = 31.81 Å³ per atom
crystal system = hexagonal
electronic total energy = -3.67 eV/atom

---

Entry 7:
The following is a DFT calculation (GGA-PBE) of a relaxed LuF crystal.

```
LuF
1.0
0.000 2.491 2.491
2.491 0.000 2.491
2.491 2.491 0.000
F Lu
1 1
Direct
0.000 0.000 0.000 F
0.500 0.500 0.500 Lu
```

Values from the calculation:
calculated volume = 15.45 Å³ per atom
crystal system = cubic
ΔE to the lowest computed polymorph = 437 meV per atom
electronic total energy = -5.01 eV/atom

---

Entry 8:
The following is a DFT calculation (GGA-PBE) of a relaxed LuF crystal.

```
LuF
1.0
-2.354 1.415 1.544
0.403 -3.115 0.254
2.263 0.534 2.961
F Lu
1 1
Direct
0.667 0.333 0.750 F
0.333 0.667 0.250 Lu
```

Values from the calculation:
calculated volume = 16.19 Å³ per atom
crystal system = hexagonal
ΔE to the lowest computed polymorph = 333 meV per atom
electronic total energy = -5.12 eV/atom

---

Entry 9:
The following is a DFT calculation (GGA-PBE) of a relaxed LuOF crystal.

```
LuOF
1.0
10.404 0.000 0.000
0.000 5.293 0.000
0.000 0.000 10.490
O F Lu
16 16 16
Direct
0.243 0.040 0.633 O
0.495 0.533 0.868 O
0.243 0.460 0.133 O
0.995 0.533 0.632 O
0.495 0.967 0.368 O
0.995 0.967 0.132 O
0.757 0.540 0.867 O
0.005 0.467 0.368 O
0.743 0.040 0.867 O
0.005 0.033 0.868 O
0.257 0.540 0.633 O
0.505 0.033 0.632 O
0.757 0.960 0.367 O
0.505 0.467 0.132 O
0.743 0.460 0.367 O
0.257 0.960 0.133 O
0.008 0.537 0.884 F
0.243 0.458 0.883 F
0.757 0.958 0.617 F
0.508 0.963 0.116 F
0.008 0.963 0.384 F
0.743 0.458 0.617 F
0.992 0.463 0.116 F
0.992 0.037 0.616 F
0.492 0.037 0.884 F
0.492 0.463 0.384 F
0.257 0.542 0.383 F
0.243 0.042 0.383 F
0.743 0.042 0.117 F
0.257 0.958 0.883 F
0.757 0.542 0.117 F
0.508 0.537 0.616 F
0.629 0.306 0.980 Lu
0.121 0.783 0.738 Lu
0.371 0.694 0.020 Lu
0.371 0.806 0.520 Lu
0.379 0.217 0.238 Lu
0.379 0.283 0.738 Lu
0.129 0.306 0.520 Lu
0.871 0.806 0.980 Lu
0.871 0.694 0.480 Lu
0.621 0.717 0.262 Lu
0.879 0.217 0.262 Lu
0.629 0.194 0.480 Lu
0.129 0.194 0.020 Lu
0.879 0.283 0.762 Lu
0.121 0.717 0.238 Lu
0.621 0.783 0.762 Lu
```

Values from the calculation:
calculated volume = 12.03 Å³ per atom
crystal system = orthorhombic
electronic total energy = -7.68 eV/atom

---

Entry 10:
The following is a DFT calculation (GGA-PBE) of a relaxed Lu7O6F9 crystal.

```
Lu7O6F9
1.0
-3.325 4.011 0.744
-4.741 -0.523 -18.367
0.687 -2.906 18.740
O Lu F
12 14 18
Direct
0.041 0.439 0.579 O
0.041 0.079 0.939 O
0.500 0.013 0.013 O
0.500 0.513 0.513 O
0.959 0.579 0.439 O
0.976 0.824 0.109 O
0.024 0.324 0.609 O
0.959 0.939 0.079 O
0.976 0.609 0.324 O
0.000 0.001 0.001 O
0.024 0.109 0.824 O
0.000 0.501 0.501 O
0.800 0.624 0.824 Lu
0.765 0.908 0.569 Lu
0.765 0.069 0.408 Lu
0.241 0.049 0.549 Lu
0.200 0.124 0.324 Lu
0.237 0.725 0.783 Lu
0.237 0.283 0.225 Lu
0.235 0.408 0.069 Lu
0.759 0.549 0.049 Lu
0.800 0.324 0.124 Lu
0.200 0.824 0.624 Lu
0.235 0.569 0.908 Lu
0.763 0.783 0.725 Lu
0.763 0.225 0.283 Lu
0.463 0.691 0.407 F
0.537 0.191 0.907 F
0.636 0.931 0.431 F
0.454 0.822 0.977 F
0.400 0.171 0.569 F
0.463 0.907 0.191 F
0.400 0.069 0.671 F
0.546 0.322 0.477 F
0.537 0.407 0.691 F
0.364 0.431 0.931 F
0.546 0.977 0.822 F
0.056 0.792 0.223 F
0.944 0.292 0.723 F
0.600 0.569 0.171 F
0.056 0.723 0.292 F
0.600 0.671 0.069 F
0.454 0.477 0.322 F
0.944 0.223 0.792 F
```

Values from the calculation:
calculated volume = 11.96 Å³ per atom
crystal system = orthorhombic
electronic total energy = -7.44 eV/atom

---

Entry 11:
The following is a DFT calculation (GGA-PBE) of a relaxed LuOF crystal.

```
LuOF
1.0
7.371 0.000 0.000
0.000 3.685 0.000
0.000 0.000 5.237
Lu O F
4 4 4
Direct
0.128 0.250 0.210 Lu
0.872 0.750 0.790 Lu
0.372 0.750 0.710 Lu
0.628 0.250 0.290 Lu
0.360 0.250 0.483 O
0.140 0.750 0.983 O
0.860 0.250 0.017 O
0.640 0.750 0.517 O
0.606 0.750 0.017 F
0.394 0.250 0.983 F
0.894 0.250 0.517 F
0.106 0.750 0.483 F
```

Values from the calculation:
calculated volume = 11.86 Å³ per atom
crystal system = orthorhombic
electronic total energy = -7.69 eV/atom

---

Entry 12:
The following is a DFT calculation (GGA-PBE) of a relaxed LuOF crystal.

```
LuOF
1.0
5.389 0.000 0.467
0.000 5.518 0.000
-0.429 0.000 4.559
Lu O F
4 4 4
Direct
0.766 0.964 0.751 Lu
0.234 0.036 0.249 Lu
0.766 0.536 0.251 Lu
0.234 0.464 0.749 Lu
0.870 0.909 0.249 O
0.130 0.409 0.251 O
0.870 0.591 0.749 O
0.130 0.091 0.751 O
0.448 0.749 0.000 F
0.552 0.251 0.000 F
0.552 0.249 0.500 F
0.448 0.751 0.500 F
```

Values from the calculation:
calculated volume = 11.39 Å³ per atom
crystal system = monoclinic
electronic total energy = -7.59 eV/atom